Below is crystalline Cs3BaAu4 at its relaxed geometry, with properties calculated at the GGA-PBE level.

Cell and atoms, written as POSCAR:
```
Cs3BaAu4
1.0
4.2924 0.0000 0.0000
0.0000 4.2924 0.0000
0.0000 0.0000 17.2147
Cs Ba Au
3 1 4
direct
0.0000 0.0000 0.0000
0.0000 0.0000 0.2544
0.0000 0.0000 0.7456
0.0000 0.0000 0.5000
0.5000 0.5000 0.1293
0.5000 0.5000 0.4083
0.5000 0.5000 0.5917
0.5000 0.5000 0.8707
```

## Properties
* energy relative to the elements: -3.38 eV/f.u.
* V: 317.18 Å³/cell
* density of states at the Fermi level: 0.319 states/eV/atom

Below is crystalline CsBaAu2 at its relaxed geometry, with properties calculated at the GGA-PBE level.

Cell and atoms, written as POSCAR:
```
CsBaAu2
1.0
2.3838 1.3763 8.7872
-2.3838 1.3763 8.7872
0.0000 -2.7526 8.7872
Cs Ba Au
1 1 2
direct
0.0000 0.0000 0.0000
0.8293 0.8293 0.8293
0.2349 0.2349 0.2349
0.4253 0.4253 0.4253
```

## Properties
* ΔE to the lowest computed polymorph: 0.25 eV per formula unit
* energy relative to the elements: -1.81 eV/f.u.
* V: 172.98 Å³/cell
* density of states at the Fermi level: 0.586 states/eV/atom

> Which value of V does entry 2 give?

172.98 Å³/cell

> Look up the V of the second one.

172.98 Å³/cell

> Number 1 is which compound?

Cs3BaAu4